# 1
Below is LiAg5Sn2 after structural relaxation, with properties calculated at the PBE level.

Unit cell a=5.961 b=11.722 c=4.363 alpha=90.00 beta=90.00 gamma=90.00
Fractional positions:
Li 0.000 0.000 0.000
Li 0.500 0.500 0.000
Ag 0.000 0.500 0.000
Ag 0.003 0.250 0.000
Ag 0.240 0.877 0.500
Ag 0.260 0.377 0.500
Ag 0.497 0.750 0.000
Ag 0.500 0.000 0.000
Ag 0.503 0.250 0.000
Ag 0.740 0.623 0.500
Ag 0.760 0.123 0.500
Ag 0.997 0.750 0.000
Sn 0.248 0.624 0.500
Sn 0.252 0.124 0.500
Sn 0.748 0.876 0.500
Sn 0.752 0.376 0.500

formation energy = -73 meV/atom
theoretical density = 8.54 Mg/m³
density of states at the Fermi level = 2.9 states/eV/f.u.

# 2
Below is TaGaPd3 after structural relaxation, with properties calculated at the PBE level.

Unit cell a=4.534 b=4.534 c=4.534 alpha=90.00 beta=90.00 gamma=90.00
Fractional positions:
Ta 0.000 0.000 0.000
Ga 0.500 0.500 0.500
Pd 0.000 0.500 0.500
Pd 0.500 0.000 0.500
Pd 0.500 0.500 0.000

polymorph energy (0 for the lowest one) = 0.984 eV/atom
formation energy = 602 meV/atom
theoretical density = 10.15 Mg/m³
density of states at the Fermi level = 8.9 states/eV/f.u.

# 3
Below is YCd3S after structural relaxation, with properties calculated at the PBE level.

Unit cell a=5.163 b=5.163 c=5.163 alpha=90.00 beta=90.00 gamma=90.00
Fractional positions:
Y 0.000 0.000 0.000
Cd 0.000 0.500 0.500
Cd 0.500 0.000 0.500
Cd 0.500 0.500 0.000
S 0.500 0.500 0.500

polymorph energy (0 for the lowest one) = 0.000 eV/atom
theoretical density = 5.53 Mg/m³
density of states at the Fermi level = 4.3 states/eV/f.u.